1.
A plane-wave DFT calculation with PBE was carried out for a geometry-optimized CdPCl structure.

Unit cell a=4.0702 b=4.8463 c=14.3790 alpha=90.00 beta=90.00 gamma=90.00
Space group Fmm2 (No. 42)
Inequivalent atoms, fractional coordinates:
Cd 0.0000 0.0000 0.0000 [4 per cell]
P 0.0000 0.0000 0.3654 [4 per cell]
Cl 0.0000 0.0000 0.6193 [4 per cell]

## Properties
Formation energy without anion corrections   145 meV/atom
E   -30.95 eV/cell
Total moment   0.0 μB/f.u.
Fermi-level density of states   0.83 states/eV/f.u.

---

2.
A plane-wave DFT calculation with PBE was carried out for a geometry-optimized CsTlAu4 structure.

Unit cell a=5.5102 b=11.8178 c=5.4463 alpha=90.00 beta=90.00 gamma=90.00
Space group Cmmm (No. 65)
Inequivalent atoms, fractional coordinates:
Cs 0.0000 0.0000 0.0000 [2 per cell]
Tl 0.0000 0.5000 0.5000 [2 per cell]
Au 0.0000 0.2558 0.5000 [4 per cell]
Au 0.0000 0.2831 0.0000 [4 per cell]

## Properties
E_form   -0.0079 eV/atom
E   -32.75 eV/cell
Total moment   0.0 μB/f.u.
Fermi-level density of states   1.95 states/eV/f.u.

---

3.
A plane-wave DFT calculation with PBE was carried out for a geometry-optimized SmSnRh structure.

Unit cell a=3.3805 b=3.3805 c=11.4737 alpha=90.00 beta=90.00 gamma=90.00
Space group I4mm (No. 107)
Inequivalent atoms, fractional coordinates:
Sm 0.0000 0.0000 0.0000 [2 per cell]
Sn 0.0000 0.0000 0.7067 [2 per cell]
Rh 0.0000 0.0000 0.3340 [2 per cell]

## Properties
E_form   -0.6115 eV/atom
E   -35.82 eV/cell
Total moment   0.0 μB/f.u.
Fermi-level density of states   2.09 states/eV/f.u.